(1)
{"formula": "MnZnCdCl6", "functional": "PBE-GGA", "state": "relaxed", "cell": [[6.160, 0.000, 0.000], [0.000, 6.160, 0.000], [0.000, 0.000, 11.282]], "species": ["Mn", "Mn", "Zn", "Zn", "Cd", "Cd", "Cl", "Cl", "Cl", "Cl", "Cl", "Cl", "Cl", "Cl", "Cl", "Cl", "Cl", "Cl"], "fractional_positions": [[0.000, 0.000, 0.000], [0.500, 0.500, 0.500], [0.000, 0.000, 0.334], [0.500, 0.500, 0.834], [0.000, 0.000, 0.667], [0.500, 0.500, 0.167], [0.185, 0.185, 0.170], [0.195, 0.195, 0.491], [0.199, 0.199, 0.841], [0.301, 0.699, 0.341], [0.305, 0.695, 0.991], [0.315, 0.685, 0.670], [0.685, 0.315, 0.670], [0.695, 0.305, 0.991], [0.699, 0.301, 0.341], [0.801, 0.801, 0.841], [0.805, 0.805, 0.491], [0.815, 0.815, 0.170]], "raw_formation_energy_mev_per_atom": -1037, "space_group": "No. 102"}



(2)
{"formula": "Zr2TeOs", "functional": "PBE-GGA", "state": "relaxed", "cell": [[3.268, 0.000, 0.000], [0.000, 3.268, 0.000], [0.000, 0.000, 7.787]], "species": ["Zr", "Zr", "Te", "Os"], "fractional_positions": [[0.000, 0.000, 0.214], [0.000, 0.000, 0.786], [0.500, 0.500, 0.500], [0.500, 0.500, 0.000]], "raw_formation_energy_mev_per_atom": -368, "space_group": "No. 123"}



(3)
{"formula": "BaTcPt2", "functional": "PBE-GGA", "state": "relaxed", "cell": [[2.984, 0.000, 0.000], [-1.492, 2.584, 0.000], [0.000, 0.000, 30.559]], "species": ["Ba", "Ba", "Ba", "Tc", "Tc", "Tc", "Pt", "Pt", "Pt", "Pt", "Pt", "Pt"], "fractional_positions": [[0.000, 0.000, 0.000], [0.333, 0.667, 0.667], [0.667, 0.333, 0.333], [0.000, 0.000, 0.766], [0.333, 0.667, 0.433], [0.667, 0.333, 0.099], [0.000, 0.000, 0.240], [0.000, 0.000, 0.499], [0.333, 0.667, 0.166], [0.333, 0.667, 0.907], [0.667, 0.333, 0.574], [0.667, 0.333, 0.832]], "delta_e_f_mev_per_atom": 625, "polymorph_energy_mev_per_atom": 832.0, "space_group": "No. 160"}